DFT (PBE-GGA) results for a relaxed structure of NaCaV2Re.

Properties
VASP energy, eV/cell: -22.14
Size of the total moment, Bohr magnetons per cell: 0.05

```
data_NaCaV2Re
_chemical_formula_sum 'Na1 Ca1 V2 Re1'
_symmetry_space_group_name_H-M 'P 4/m m m'
_symmetry_Int_Tables_number 123
_symmetry_space_group_name_Hall '-P 4 2'
_cell_length_a 4.499
_cell_length_b 4.499
_cell_length_c 4.340
_cell_angle_alpha 90.00
_cell_angle_beta 90.00
_cell_angle_gamma 90.00
loop_
_atom_site_label
_atom_site_type_symbol
_atom_site_fract_x
_atom_site_fract_y
_atom_site_fract_z
_atom_site_occupancy
Na1 Na 0.000 0.000 0.000 1
Ca1 Ca 0.000 0.000 0.500 1
V1 V 0.000 0.500 0.500 1
Re1 Re 0.500 0.500 0.000 1
```

=====

DFT (PBE-GGA) results for a relaxed structure of KScCl.

Properties
Polymorph energy (0 for the lowest one), meV per atom: 633
Formation energy without anion corrections, eV/f.u.: -0.22
Size of the total moment, Bohr magnetons per cell: 4.16

```
data_KScCl
_chemical_formula_sum 'K4 Sc4 Cl4'
_symmetry_space_group_name_H-M 'F -4 3 m'
_symmetry_Int_Tables_number 216
_symmetry_space_group_name_Hall 'F -4 2 3'
_cell_length_a 7.101
_cell_length_b 7.101
_cell_length_c 7.101
_cell_angle_alpha 90.00
_cell_angle_beta 90.00
_cell_angle_gamma 90.00
loop_
_atom_site_label
_atom_site_type_symbol
_atom_site_fract_x
_atom_site_fract_y
_atom_site_fract_z
_atom_site_occupancy
K1 K 0.000 0.000 0.000 1
Sc1 Sc 0.000 0.000 0.500 1
Cl1 Cl 0.250 0.250 0.750 1
```

=====

DFT (PBE-GGA) results for a relaxed structure of Tm7Al2Ga2.

Properties
VASP energy, eV/cell: -91.27
Size of the total moment, Bohr magnetons per cell: 0.00

```
data_Tm7Al2Ga2
_chemical_formula_sum 'Tm14 Al4 Ga4'
_symmetry_space_group_name_H-M 'C m m m'
_symmetry_Int_Tables_number 65
_symmetry_space_group_name_Hall '-C 2 2'
_cell_length_a 7.291
_cell_length_b 10.731
_cell_length_c 7.608
_cell_angle_alpha 90.00
_cell_angle_beta 90.00
_cell_angle_gamma 90.00
loop_
_atom_site_label
_atom_site_type_symbol
_atom_site_fract_x
_atom_site_fract_y
_atom_site_fract_z
_atom_site_occupancy
Tm1 Tm 0.000 0.000 0.000 1
Tm2 Tm 0.000 0.500 0.263 1
Tm3 Tm 0.250 0.250 0.290 1
Al1 Al 0.000 0.291 0.000 1
Ga1 Ga 0.175 0.000 0.500 1
```

=====

DFT (PBE-GGA) results for a relaxed structure of Hg4SeCl2O.

Properties
Formation energy without anion corrections, eV/f.u.: -1.23
Size of the total moment, Bohr magnetons per cell: 0.00

```
data_Hg4SeCl2O
_chemical_formula_sum 'Hg16 Se4 Cl8 O4'
_symmetry_space_group_name_H-M 'C 1 2/c 1'
_symmetry_Int_Tables_number 15
_cell_length_a 11.681
_cell_length_b 10.490
_cell_length_c 8.448
_cell_angle_alpha 90.00
_cell_angle_beta 131.38
_cell_angle_gamma 90.00
loop_
_symmetry_equiv_pos_as_xyz
'x,y,z'
'-x,-y,-z'
'-x,y,-z+1/2'
'x,-y,z+1/2'
'x+1/2,y+1/2,z'
'-x+1/2,-y+1/2,-z'
'-x+1/2,y+1/2,-z+1/2'
'x+1/2,-y+1/2,z+1/2'
loop_
_atom_site_label
_atom_site_type_symbol
_atom_site_fract_x
_atom_site_fract_y
_atom_site_fract_z
_atom_site_occupancy
Hg1 Hg 0.008 0.233 0.034 1
Hg2 Hg 0.187 0.001 0.881 1
Se1 Se 0.250 0.250 0.500 1
Cl1 Cl 0.000 0.500 0.000 1
Cl2 Cl 0.250 0.250 0.000 1
O1 O 0.000 0.000 0.000 1
```

=====

DFT (PBE-GGA) results for a relaxed structure of SmDyInTc.

Properties
VASP energy, eV/cell: -91.29
Size of the total moment, Bohr magnetons per cell: 0.00

```
data_SmDyInTc
_chemical_formula_sum 'Sm4 Dy4 In4 Tc4'
_symmetry_space_group_name_H-M 'F -4 3 m'
_symmetry_Int_Tables_number 216
_symmetry_space_group_name_Hall 'F -4 2 3'
_cell_length_a 7.251
_cell_length_b 7.251
_cell_length_c 7.251
_cell_angle_alpha 90.00
_cell_angle_beta 90.00
_cell_angle_gamma 90.00
loop_
_atom_site_label
_atom_site_type_symbol
_atom_site_fract_x
_atom_site_fract_y
_atom_site_fract_z
_atom_site_occupancy
Sm1 Sm 0.000 0.000 0.000 1
Dy1 Dy 0.000 0.000 0.500 1
In1 In 0.250 0.250 0.250 1
Tc1 Tc 0.250 0.250 0.750 1
```

=====

DFT (PBE-GGA) results for a relaxed structure of Cu3TcNi.

Properties
Polymorph energy (0 for the lowest one), meV per atom: 412
Size of the total moment, Bohr magnetons per cell: 0.84

```
data_Cu3TcNi
_chemical_formula_sum 'Cu3 Tc1 Ni1'
_symmetry_space_group_name_H-M 'P m -3 m'
_symmetry_Int_Tables_number 221
_symmetry_space_group_name_Hall '-P 4 2 3'
_cell_length_a 4.566
_cell_length_b 4.566
_cell_length_c 4.566
_cell_angle_alpha 90.00
_cell_angle_beta 90.00
_cell_angle_gamma 90.00
loop_
_atom_site_label
_atom_site_type_symbol
_atom_site_fract_x
_atom_site_fract_y
_atom_site_fract_z
_atom_site_occupancy
Cu1 Cu 0.000 0.000 0.500 1
Tc1 Tc 0.000 0.000 0.000 1
Ni1 Ni 0.500 0.500 0.500 1
```